{
  "formula": "BaNaAl2Pd",
  "functional": "PBE-GGA",
  "state": "relaxed",
  "lattice": [[4.893, 0.000, 0.000], [0.000, 4.893, 0.000], [0.000, 0.000, 5.438]],
  "species": ["Ba", "Na", "Al", "Al", "Pd"],
  "frac_coords": [[0.000, 0.000, 0.000], [0.500, 0.500, 0.000], [0.000, 0.500, 0.500], [0.500, 0.000, 0.500], [0.500, 0.500, 0.500]],
  "dos_at_fermi_per_ev_atom": 0.798,
  "magmom_total_mub_per_fu": 0.00,
  "formation_enthalpy_0k_kj_per_mol_atoms": -26
}